No. 1
Material: Ba2CeSb2
Method: DFT, PBE-GGA
State: relaxed

Structure (extended XYZ):
```
10
Lattice="-5.245 3.567 2.757 -5.792 -6.023 -3.228 6.086 -2.441 6.062" Properties=species:S:1:pos:R:3 pbc="T T T"
Ba -4.281 -2.962 4.362
Ba -0.670 -1.935 1.229
Ba -3.329 -6.482 2.053
Ba -1.622 1.585 3.538
Sb -0.739 0.426 6.717
Sb -1.000 -4.355 3.732
Sb -3.952 -0.542 1.859
Sb -4.212 -5.323 -1.126
Ce -4.207 -2.120 -0.925
Ce -6.830 -0.336 0.454
```

Calculated values
The value obtained for the total energy is -44.79 eV/cell. Its space group is No. 72. Its raw formation energy is -0.8746 eV per atom.


No. 2
Material: Sb2AsPt
Method: DFT, PBE-GGA
State: relaxed

Structure (extended XYZ):
```
4
Lattice="-3.280 0.108 3.647 3.273 -2.922 2.196 1.636 2.874 1.386" Properties=species:S:1:pos:R:3 pbc="T T T"
Sb 0.000 0.000 0.000
Sb -0.003 -1.407 2.922
Pt 2.454 -0.024 1.791
As -0.822 1.491 2.517
```

Calculated values
The value obtained for the total energy is -18.26 eV/cell. Its space group is No. 65. Its raw formation energy is 0.1690 eV per atom.


No. 3
Material: RbSr2W
Method: DFT, PBE-GGA
State: relaxed

Structure (extended XYZ):
```
4
Lattice="1.154 -2.045 5.518 -2.363 2.755 4.773 -4.327 -2.679 3.171" Properties=species:S:1:pos:R:3 pbc="T T T"
Rb 0.000 0.000 0.000
Sr -1.384 -0.492 3.365
Sr -4.152 -1.477 10.096
W -2.768 -0.984 6.731
```

Calculated values
The value obtained for the total energy is -12.23 eV/cell. The formation energy is 1264.7 meV/atom. Its energy above the lowest structure with this stoichiometry is 0 meV/atom. Its space group is No. 225.


No. 4
Material: PmHo2ErIn4
Method: DFT, PBE-GGA
State: relaxed

Structure (extended XYZ):
```
8
Lattice="-1.913 3.905 3.071 -5.190 1.180 -0.120 -3.823 -4.053 7.385" Properties=species:S:1:pos:R:3 pbc="T T T"
Er -5.463 0.516 5.168
In -6.002 -1.615 7.541
In -4.923 2.647 2.795
In -7.654 2.907 5.377
In -3.271 -1.875 4.959
Pm 0.000 0.000 0.000
Ho -8.192 0.783 7.742
Ho -2.734 0.249 2.594
```

Calculated values
The value obtained for the total energy is -33.09 eV/cell. The formation energy is -458.3 meV/atom. Its space group is No. 166.


No. 5
Material: Ba2Sr2In3
Method: DFT, PBE-GGA
State: relaxed

Structure (extended XYZ):
```
7
Lattice="5.601 -0.001 -1.564 -3.019 4.975 -0.002 -0.122 -0.071 10.381" Properties=species:S:1:pos:R:3 pbc="T T T"
Sr 3.037 1.847 0.065
Sr -0.576 3.056 8.750
In 0.000 0.000 0.000
In 1.991 1.210 7.141
In 0.470 3.693 1.674
Ba 1.489 4.310 5.343
Ba 0.971 0.593 3.472
```

Calculated values
The value obtained for the total energy is -17.82 eV/cell. The formation energy is -342.8 meV/atom. Its space group is No. 12.


No. 6
Material: Tl3Hg2Pd4
Method: DFT, PBE-GGA
State: relaxed

Structure (extended XYZ):
```
9
Lattice="3.808 0.000 0.000 -1.904 5.456 -0.395 0.000 0.999 9.146" Properties=species:S:1:pos:R:3 pbc="T T T"
Pd 0.000 4.512 8.304
Pd 1.904 1.943 0.446
Pd 1.904 4.344 3.987
Pd 0.000 2.112 4.763
Hg 1.904 3.137 6.689
Hg 0.000 3.319 2.061
Tl 1.904 0.851 3.034
Tl 0.000 0.000 0.000
Tl 0.000 5.605 5.716
```

Calculated values
The value obtained for the total energy is -29.43 eV/cell. The formation energy is -106.3 meV/atom. Its energy above the lowest structure with this stoichiometry is 0 meV/atom. Its space group is No. 12.


No. 7
Material: MnSnPCl2
Method: DFT, PBE-GGA
State: relaxed

Structure (extended XYZ):
```
5
Lattice="5.192 0.000 0.000 0.000 5.192 0.000 0.000 0.000 5.372" Properties=species:S:1:pos:R:3 pbc="T T T"
Cl 2.596 0.000 0.000
Cl 0.000 2.596 0.000
Sn 0.000 0.000 0.000
P 0.000 0.000 2.686
Mn 2.596 2.596 2.686
```

Calculated values
The value obtained for the total energy is -20.76 eV/cell. Its energy above the lowest structure with this stoichiometry is 506 meV/atom. Its space group is No. 123. Its raw formation energy is 0.3032 eV per atom.


No. 8
Material: Tb2PtAu
Method: DFT, PBE-GGA
State: relaxed

Structure (extended XYZ):
```
4
Lattice="-0.913 3.420 0.256 -1.176 -0.561 3.301 6.521 1.546 2.587" Properties=species:S:1:pos:R:3 pbc="T T T"
Tb 4.949 1.173 1.963
Tb 1.572 0.373 0.623
Au 2.216 2.202 3.072
Pt -1.045 1.429 1.779
```

Calculated values
The value obtained for the total energy is -22.69 eV/cell. The formation energy is -1027.1 meV/atom. Its space group is No. 123.


No. 9
Material: AcPrNbN3
Method: DFT, PBE-GGA
State: relaxed

Structure (extended XYZ):
```
12
Lattice="-2.526 2.255 1.429 -4.376 -6.448 2.438 4.384 0.780 6.518" Properties=species:S:1:pos:R:3 pbc="T T T"
Ac -0.644 -0.431 1.905
Ac -1.875 -2.982 8.481
Nb -4.057 -3.772 5.870
Nb 1.538 0.360 4.515
N 0.539 -2.666 7.523
N -5.107 -3.918 4.244
N -0.423 1.048 4.688
N 2.588 0.505 6.141
N -3.058 -0.747 2.863
N -2.096 -4.461 5.697
Pr -2.562 -3.259 2.976
Pr 0.043 -0.154 7.409
```

Calculated values
The value obtained for the total energy is -99.36 eV/cell. Its space group is No. 11. Its raw formation energy is -0.9575 eV per atom.


No. 10
Material: BeInAg2
Method: DFT, PBE-GGA
State: relaxed

Structure (extended XYZ):
```
4
Lattice="0.000 3.235 3.235 3.235 0.000 3.235 3.235 3.235 0.000" Properties=species:S:1:pos:R:3 pbc="T T T"
Ag 4.852 4.852 4.852
Ag 1.617 1.617 1.617
In 3.235 3.235 3.235
Be 0.000 0.000 0.000
```

Calculated values
The value obtained for the total energy is -11.15 eV/cell. The formation energy is 253.5 meV/atom. Its energy above the lowest structure with this stoichiometry is 115 meV/atom. Its space group is No. 225.


No. 11
Material: CaTc2Br
Method: DFT, PBE-GGA
State: relaxed

Structure (extended XYZ):
```
4
Lattice="3.154 0.000 0.000 0.000 4.926 0.000 0.000 0.000 5.678" Properties=species:S:1:pos:R:3 pbc="T T T"
Br 1.577 2.463 1.419
Tc 0.000 0.000 5.333
Tc 0.000 0.000 3.184
Ca 1.577 2.463 4.258
```

Calculated values
The value obtained for the total energy is -21.75 eV/cell. Its energy above the lowest structure with this stoichiometry is 725 meV/atom. Its space group is No. 47. Its raw formation energy is 0.6632 eV per atom.


No. 12
Material: Nd2Y3Tl
Method: DFT, PBE-GGA
State: relaxed

Structure (extended XYZ):
```
12
Lattice="-0.063 2.674 -4.415 1.951 -8.981 -2.450 -8.758 0.796 3.625" Properties=species:S:1:pos:R:3 pbc="T T T"
Y -4.012 -3.994 -3.870
Y -4.410 1.735 -0.395
Y -2.858 -1.517 0.631
Y -1.191 -1.731 -2.541
Y -5.679 -3.781 -0.699
Y 0.975 -4.491 -1.225
Nd 1.146 -7.592 -3.106
Nd -6.402 -0.701 1.176
Nd -0.467 -4.811 -4.416
Nd -8.016 2.081 -0.133
Tl -2.272 -4.471 -1.167
Tl -4.598 -1.040 -2.073
```

Calculated values
The value obtained for the total energy is -63.97 eV/cell. The formation energy is -115.2 meV/atom. Its energy above the lowest structure with this stoichiometry is 0 meV/atom. Its space group is No. 74.